{
  "formula": "UTa2MoC4",
  "functional": "PBE",
  "state": "relaxed",
  "lattice": [[1.6088, -5.6868, 0.0000], [1.6088, 5.6868, 0.0000], [0.0000, 0.0000, 11.1904]],
  "species": ["U", "U", "Ta", "Ta", "Ta", "Ta", "Mo", "Mo", "C", "C", "C", "C", "C", "C", "C", "C"],
  "frac_coords": [[0.1213, 0.8787, 0.7500], [0.8787, 0.1213, 0.2500], [0.3709, 0.6291, 0.5359], [0.3709, 0.6291, 0.9641], [0.6291, 0.3709, 0.0359], [0.6291, 0.3709, 0.4641], [0.1451, 0.8549, 0.2500], [0.8549, 0.1451, 0.7500], [0.0000, 0.0000, 0.0000], [0.0000, 0.0000, 0.5000], [0.2633, 0.7367, 0.1151], [0.2633, 0.7367, 0.3849], [0.4652, 0.5348, 0.7500], [0.5348, 0.4652, 0.2500], [0.7367, 0.2633, 0.6151], [0.7367, 0.2633, 0.8849]],
  "delta_e_f_ev_per_atom": -0.1868,
  "total_magnetization_mub_per_atom": 0.16,
  "total_energy_ry_per_atom": -0.77371
}